VASP calculation (PBE with a Hubbard U) on a relaxed Nd2HfCoO6 crystal.

N(E_F): 0.0000 states/eV/atom
electronic total energy: -8.4084 eV per atom
M_tot: 6.04 μB per cell

a b c (Å): 5.579 5.833 8.065
angles (deg): 90.00 89.16 90.00
Last column: magnetic moment on the atom in μB.
Fractional positions:
Nd1 0.019 0.940 0.252  0.00
Nd2 0.981 0.060 0.748  0.00
Nd3 0.519 0.560 0.752  0.00
Nd4 0.481 0.440 0.248  0.00
O1 0.388 0.958 0.746  0.03
O2 0.612 0.042 0.254  0.03
O3 0.299 0.697 0.055  0.04
O4 0.194 0.206 0.062  0.04
O5 0.806 0.794 0.938  0.04
O6 0.112 0.458 0.754  0.03
O7 0.201 0.197 0.445  0.04
O8 0.888 0.542 0.246  0.03
O9 0.799 0.803 0.555  0.04
O10 0.701 0.303 0.945  0.04
O11 0.694 0.294 0.562  0.04
O12 0.306 0.706 0.438  0.04
Co1 0.000 0.500 0.500  2.73
Co2 0.500 0.000 0.000  2.73
Hf1 0.000 0.500 0.000  0.04
Hf2 0.500 0.000 0.500  0.04